1.
Computed, not measured: LiCu2Ni at its PBEsol-relaxed geometry at the SCAN level of DFT.

## Properties
- energy above the lowest structure with this stoichiometry (meV/atom) = 58
- D(E_F) (states/eV per cell) = 4.35
- total magnetic moment (Bohr magnetons per cell) = 0.00
- ΔE_f (meV/atom) = 54.3

Geometry as POSCAR:
```
LiCu2Ni
1.0
5.595 0.000 0.000
0.000 5.595 0.000
0.000 0.000 5.595
Li Cu Ni
4 8 4
Direct
0.000 0.000 0.000 Li
0.000 0.500 0.500 Li
0.500 0.000 0.500 Li
0.500 0.500 0.000 Li
0.000 0.000 0.500 Cu
0.000 0.500 0.000 Cu
0.250 0.250 0.750 Cu
0.250 0.750 0.250 Cu
0.500 0.000 0.000 Cu
0.500 0.500 0.500 Cu
0.750 0.250 0.250 Cu
0.750 0.750 0.750 Cu
0.250 0.250 0.250 Ni
0.250 0.750 0.750 Ni
0.750 0.250 0.750 Ni
0.750 0.750 0.250 Ni
```

2.
Computed, not measured: NaMnH3O3 at its PBEsol-relaxed geometry at the SCAN level of DFT.

## Properties
- total magnetic moment (Bohr magnetons per cell) = 40.00
- VASP energy (Ry/atom) = -0.576

Geometry as POSCAR:
```
NaMnH3O3
1.0
11.390 0.000 0.000
0.000 11.390 0.000
0.000 0.000 4.863
Na Mn H O
8 8 24 24
Direct
0.078 0.105 0.000 Na
0.105 0.922 0.500 Na
0.395 0.422 0.500 Na
0.422 0.605 0.000 Na
0.578 0.395 0.000 Na
0.605 0.578 0.500 Na
0.895 0.078 0.500 Na
0.922 0.895 0.000 Na
0.043 0.306 0.471 Mn
0.194 0.457 0.971 Mn
0.306 0.957 0.971 Mn
0.457 0.806 0.471 Mn
0.543 0.194 0.471 Mn
0.694 0.043 0.971 Mn
0.806 0.543 0.971 Mn
0.957 0.694 0.471 Mn
0.131 0.824 0.025 H
0.159 0.677 0.311 H
0.176 0.131 0.525 H
0.177 0.659 0.811 H
0.180 0.256 0.058 H
0.244 0.320 0.558 H
0.256 0.820 0.558 H
0.320 0.756 0.058 H
0.323 0.159 0.811 H
0.324 0.631 0.525 H
0.341 0.177 0.311 H
0.369 0.324 0.025 H
0.631 0.676 0.025 H
0.659 0.823 0.311 H
0.676 0.369 0.525 H
0.677 0.841 0.811 H
0.680 0.244 0.058 H
0.744 0.180 0.558 H
0.756 0.680 0.558 H
0.820 0.744 0.058 H
0.823 0.341 0.811 H
0.824 0.869 0.525 H
0.841 0.323 0.311 H
0.869 0.176 0.025 H
0.090 0.128 0.510 O
0.108 0.306 0.064 O
0.128 0.910 0.010 O
0.130 0.711 0.489 O
0.194 0.392 0.564 O
0.211 0.630 0.989 O
0.289 0.130 0.989 O
0.306 0.892 0.564 O
0.370 0.211 0.489 O
0.372 0.410 0.010 O
0.392 0.806 0.064 O
0.410 0.628 0.510 O
0.590 0.372 0.510 O
0.608 0.194 0.064 O
0.628 0.590 0.010 O
0.630 0.789 0.489 O
0.694 0.108 0.564 O
0.711 0.870 0.989 O
0.789 0.370 0.989 O
0.806 0.608 0.564 O
0.870 0.289 0.489 O
0.872 0.090 0.010 O
0.892 0.694 0.064 O
0.910 0.872 0.510 O
```

3.
Computed, not measured: K2LiZnPb at its PBEsol-relaxed geometry at the SCAN level of DFT.

## Properties
- D(E_F) (states/eV per cell) = 3.34
- total magnetic moment (Bohr magnetons per cell) = 0.00
- ΔE_f (meV/atom) = 203.9

Geometry as POSCAR:
```
K2LiZnPb
1.0
6.150 0.000 0.000
0.000 6.150 0.000
0.000 0.000 4.917
K Li Zn Pb
2 1 1 1
Direct
0.000 0.500 0.000 K
0.500 0.000 0.000 K
0.000 0.000 0.500 Li
0.000 0.000 0.000 Zn
0.500 0.500 0.500 Pb
```

4.
Computed, not measured: InRe2Sb at its PBEsol-relaxed geometry at the SCAN level of DFT.

## Properties
- energy above the lowest structure with this stoichiometry (meV/atom) = 301
- D(E_F) (states/eV per cell) = 5.71
- formation energy (no corrections) (meV/atom) = 975
- total magnetic moment (Bohr magnetons per cell) = 0.00

Geometry as POSCAR:
```
InRe2Sb
1.0
3.128 0.000 0.000
0.000 5.085 0.000
0.000 0.000 8.912
In Re Sb
2 4 2
Direct
0.000 0.000 0.000 In
0.500 0.500 0.500 In
0.000 0.500 0.235 Re
0.000 0.500 0.765 Re
0.500 0.000 0.265 Re
0.500 0.000 0.735 Re
0.000 0.000 0.500 Sb
0.500 0.500 0.000 Sb
```

5.
Computed, not measured: BaCo2HgTe at its PBEsol-relaxed geometry at the SCAN level of DFT.

## Properties
- D(E_F) (states/eV per cell) = 2.80
- formation energy (no corrections) (meV/atom) = 1508
- total magnetic moment (Bohr magnetons per cell) = 3.51

Geometry as POSCAR:
```
BaCo2HgTe
1.0
4.851 0.000 0.000
0.000 4.851 0.000
0.000 0.000 6.451
Ba Co Hg Te
1 2 1 1
Direct
0.000 0.000 0.000 Ba
0.000 0.500 0.000 Co
0.500 0.000 0.000 Co
0.500 0.500 0.500 Hg
0.000 0.000 0.500 Te
```

6.
Computed, not measured: CoCuPb2 at its PBEsol-relaxed geometry at the SCAN level of DFT.

## Properties
- energy above the lowest structure with this stoichiometry (meV/atom) = 150
- D(E_F) (states/eV per cell) = 7.24
- total magnetic moment (Bohr magnetons per cell) = 4.18
- ΔE_f (meV/atom) = 535.2

Geometry as POSCAR:
```
CoCuPb2
1.0
3.333 0.000 0.000
-1.666 2.886 0.000
0.000 0.000 23.747
Co Cu Pb
3 3 6
Direct
0.000 0.000 0.000 Co
0.333 0.667 0.667 Co
0.667 0.333 0.333 Co
0.000 0.000 0.500 Cu
0.333 0.667 0.167 Cu
0.667 0.333 0.833 Cu
0.000 0.000 0.253 Pb
0.000 0.000 0.747 Pb
0.333 0.667 0.413 Pb
0.333 0.667 0.920 Pb
0.667 0.333 0.080 Pb
0.667 0.333 0.587 Pb
```

7.
Computed, not measured: NaSr11Pt3O18 at its PBEsol-relaxed geometry at the SCAN level of DFT.

## Properties
- D(E_F) (states/eV per cell) = 38.82
- formation energy (no corrections) (meV/atom) = -2434
- total magnetic moment (Bohr magnetons per cell) = 0.01

Geometry as POSCAR:
```
NaSr11Pt3O18
1.0
9.648 0.000 0.000
-4.824 8.356 0.000
0.000 0.000 11.774
Na Sr Pt O
2 22 6 36
Direct
0.333 0.667 0.166 Na
0.667 0.333 0.834 Na
0.000 0.000 0.000 Sr
0.000 0.000 0.500 Sr
0.000 0.367 0.500 Sr
0.000 0.632 0.000 Sr
0.024 0.334 0.834 Sr
0.037 0.699 0.329 Sr
0.301 0.338 0.329 Sr
0.310 0.976 0.834 Sr
0.333 0.667 0.667 Sr
0.334 0.024 0.166 Sr
0.338 0.301 0.671 Sr
0.367 0.000 0.500 Sr
0.368 0.368 0.000 Sr
0.632 0.000 0.000 Sr
0.633 0.633 0.500 Sr
0.662 0.963 0.329 Sr
0.666 0.690 0.834 Sr
0.667 0.333 0.333 Sr
0.690 0.666 0.166 Sr
0.699 0.037 0.671 Sr
0.963 0.662 0.671 Sr
0.976 0.310 0.166 Sr
0.000 0.000 0.250 Pt
0.000 0.000 0.750 Pt
0.333 0.667 0.414 Pt
0.333 0.667 0.919 Pt
0.667 0.333 0.081 Pt
0.667 0.333 0.586 Pt
0.026 0.186 0.651 O
0.026 0.841 0.150 O
0.149 0.641 0.818 O
0.151 0.509 0.315 O
0.159 0.185 0.150 O
0.160 0.974 0.651 O
0.174 0.693 0.515 O
0.176 0.484 0.018 O
0.185 0.159 0.850 O
0.186 0.026 0.349 O
0.307 0.482 0.515 O
0.308 0.824 0.018 O
0.359 0.508 0.818 O
0.359 0.849 0.315 O
0.482 0.307 0.485 O
0.484 0.176 0.982 O
0.491 0.641 0.315 O
0.492 0.851 0.818 O
0.508 0.359 0.182 O
0.509 0.151 0.685 O
0.516 0.692 0.018 O
0.518 0.826 0.515 O
0.641 0.149 0.182 O
0.641 0.491 0.685 O
0.692 0.516 0.982 O
0.693 0.174 0.485 O
0.814 0.840 0.651 O
0.815 0.974 0.150 O
0.824 0.308 0.982 O
0.826 0.518 0.485 O
0.840 0.814 0.349 O
0.841 0.026 0.850 O
0.849 0.359 0.685 O
0.851 0.492 0.182 O
0.974 0.160 0.349 O
0.974 0.815 0.850 O
```

8.
Computed, not measured: ZrSi2Hg at its PBEsol-relaxed geometry at the SCAN level of DFT.

## Properties
- energy above the lowest structure with this stoichiometry (meV/atom) = 211
- D(E_F) (states/eV per cell) = 3.90
- formation energy (no corrections) (meV/atom) = 99
- total magnetic moment (Bohr magnetons per cell) = 0.00

Geometry as POSCAR:
```
ZrSi2Hg
1.0
5.908 0.000 0.000
0.000 9.040 0.000
-1.355 0.000 2.710
Zr Si Hg
2 4 2
Direct
0.000 0.000 0.000 Zr
0.500 0.500 0.000 Zr
0.250 0.250 0.500 Si
0.250 0.750 0.500 Si
0.750 0.250 0.500 Si
0.750 0.750 0.500 Si
0.000 0.500 0.000 Hg
0.500 0.000 0.000 Hg
```

9.
Computed, not measured: TiRu2PtAu at its PBEsol-relaxed geometry at the SCAN level of DFT.

## Properties
- D(E_F) (states/eV per cell) = 5.29
- total magnetic moment (Bohr magnetons per cell) = 0.00
- ΔE_f (meV/atom) = 1252.1

Geometry as POSCAR:
```
TiRu2PtAu
1.0
4.662 0.000 0.000
0.000 4.662 0.000
0.000 0.000 4.583
Ti Ru Pt Au
1 2 1 1
Direct
0.000 0.000 0.000 Ti
0.000 0.500 0.500 Ru
0.500 0.000 0.500 Ru
0.000 0.000 0.500 Pt
0.500 0.500 0.000 Au
```

10.
Computed, not measured: LaMnCdIr2 at its PBEsol-relaxed geometry at the SCAN level of DFT.

## Properties
- D(E_F) (states/eV per cell) = 2.65
- total magnetic moment (Bohr magnetons per cell) = 4.71
- ΔE_f (meV/atom) = 1386.2

Geometry as POSCAR:
```
LaMnCdIr2
1.0
4.897 0.000 0.000
0.000 4.897 0.000
0.000 0.000 5.250
La Mn Cd Ir
1 1 1 2
Direct
0.000 0.000 0.000 La
0.500 0.500 0.000 Mn
0.000 0.000 0.500 Cd
0.000 0.500 0.500 Ir
0.500 0.000 0.500 Ir
```

11.
Computed, not measured: Ca2SbCl at its PBEsol-relaxed geometry at the SCAN level of DFT.

## Properties
- formation energy (no corrections) (meV/atom) = -1387
- total magnetic moment (Bohr magnetons per cell) = 0.00

Geometry as POSCAR:
```
Ca2SbCl
1.0
6.311 0.000 0.000
0.000 6.311 0.000
0.000 0.000 14.665
Ca Sb Cl
8 4 4
Direct
0.231 0.250 0.125 Ca
0.250 0.731 0.375 Ca
0.250 0.769 0.875 Ca
0.269 0.250 0.625 Ca
0.731 0.750 0.625 Ca
0.750 0.231 0.875 Ca
0.750 0.269 0.375 Ca
0.769 0.750 0.125 Ca
0.000 0.000 0.500 Sb
0.000 0.500 0.750 Sb
0.500 0.000 0.250 Sb
0.500 0.500 0.000 Sb
0.000 0.000 0.000 Cl
0.000 0.500 0.250 Cl
0.500 0.000 0.750 Cl
0.500 0.500 0.500 Cl
```

12.
Computed, not measured: CuRe2Hg at its PBEsol-relaxed geometry at the SCAN level of DFT.

## Properties
- D(E_F) (states/eV per cell) = 4.72
- total magnetic moment (Bohr magnetons per cell) = 0.00
- ΔE_f (meV/atom) = 685.6

Geometry as POSCAR:
```
CuRe2Hg
1.0
3.968 0.000 0.000
0.000 3.968 0.000
0.000 0.000 7.561
Cu Re Hg
2 4 2
Direct
0.000 0.000 0.000 Cu
0.500 0.500 0.500 Cu
0.000 0.000 0.500 Re
0.000 0.500 0.750 Re
0.500 0.000 0.250 Re
0.500 0.500 0.000 Re
0.000 0.500 0.250 Hg
0.500 0.000 0.750 Hg
```